(1)
# Tm3ScC2Se2 GGA-PBE optimized geometry
# **Final energy**: -6.820 eV per atom
# **V**: 18.60 Å³ per atom
data_Tm3ScC2Se2
_chemical_formula_sum 'Tm3 Sc1 C2 Se2'
_cell_length_a 3.6539
_cell_length_b 3.6539
_cell_length_c 12.8669
_cell_angle_alpha 90.00
_cell_angle_beta 90.00
_cell_angle_gamma 120.00
_symmetry_space_group_name_H-M 'P 3 m 1'
_symmetry_Int_Tables_number 156
_symmetry_space_group_name_Hall 'P 3 -2"'
loop_
_atom_site_label
_atom_site_type_symbol
_atom_site_fract_x
_atom_site_fract_y
_atom_site_fract_z
_atom_site_occupancy
Tm1 Tm 0.0000 0.0000 0.0000 1
Tm2 Tm 0.0000 0.0000 0.3069 1
Tm3 Tm 0.3333 0.6667 0.5098 1
Sc1 Sc 0.3333 0.6667 0.8065 1
C1 C 0.6667 0.3333 0.4085 1
C2 C 0.6667 0.3333 0.9002 1
Se1 Se 0.0000 0.0000 0.6644 1
Se2 Se 0.3333 0.6667 0.1534 1

(2)
# TmScCSe GGA-PBE optimized geometry
# **Final energy**: -7.045 eV per atom
# **V**: 17.87 Å³ per atom
data_TmScCSe
_chemical_formula_sum 'Tm2 Sc2 C2 Se2'
_cell_length_a 3.6066
_cell_length_b 3.6066
_cell_length_c 12.6898
_cell_angle_alpha 90.00
_cell_angle_beta 90.00
_cell_angle_gamma 120.00
_symmetry_space_group_name_H-M 'P 63 m c'
_symmetry_Int_Tables_number 186
_symmetry_space_group_name_Hall 'P 6c -2c'
loop_
_atom_site_label
_atom_site_type_symbol
_atom_site_fract_x
_atom_site_fract_y
_atom_site_fract_z
_atom_site_occupancy
Tm1 Tm 0.3333 0.6667 0.0000 1
Sc1 Sc 0.3333 0.6667 0.3024 1
C1 C 0.0000 0.0000 0.3978 1
Se1 Se 0.3333 0.6667 0.6576 1

(3)
# Zr3ScC2Se2 GGA-PBE optimized geometry
# **Final energy**: -8.363 eV per atom
# **V**: 16.56 Å³ per atom
data_Zr3ScC2Se2
_chemical_formula_sum 'Zr3 Sc1 C2 Se2'
_cell_length_a 3.4822
_cell_length_b 3.4822
_cell_length_c 12.6175
_cell_angle_alpha 90.00
_cell_angle_beta 90.00
_cell_angle_gamma 120.00
_symmetry_space_group_name_H-M 'P 3 m 1'
_symmetry_Int_Tables_number 156
_symmetry_space_group_name_Hall 'P 3 -2"'
loop_
_atom_site_label
_atom_site_type_symbol
_atom_site_fract_x
_atom_site_fract_y
_atom_site_fract_z
_atom_site_occupancy
Zr1 Zr 0.0000 0.0000 0.0000 1
Zr2 Zr 0.0000 0.0000 0.3103 1
Zr3 Zr 0.3333 0.6667 0.5033 1
Sc1 Sc 0.3333 0.6667 0.8076 1
C1 C 0.6667 0.3333 0.4066 1
C2 C 0.6667 0.3333 0.9051 1
Se1 Se 0.0000 0.0000 0.6558 1
Se2 Se 0.3333 0.6667 0.1550 1

(4)
# ZrScCSe GGA-PBE optimized geometry
# **Final energy**: -8.077 eV per atom
# **V**: 16.50 Å³ per atom
data_ZrScCSe
_chemical_formula_sum 'Zr2 Sc2 C2 Se2'
_cell_length_a 3.4880
_cell_length_b 3.4880
_cell_length_c 12.5297
_cell_angle_alpha 90.00
_cell_angle_beta 90.00
_cell_angle_gamma 120.00
_symmetry_space_group_name_H-M 'P 63 m c'
_symmetry_Int_Tables_number 186
_symmetry_space_group_name_Hall 'P 6c -2c'
loop_
_atom_site_label
_atom_site_type_symbol
_atom_site_fract_x
_atom_site_fract_y
_atom_site_fract_z
_atom_site_occupancy
Zr1 Zr 0.3333 0.6667 0.0000 1
Sc1 Sc 0.3333 0.6667 0.3056 1
C1 C 0.0000 0.0000 0.4043 1
Se1 Se 0.3333 0.6667 0.6535 1

(5)
# ZrScCSe GGA-PBE optimized geometry
# **Final energy**: -8.081 eV per atom
# **V**: 16.55 Å³ per atom
data_ZrScCSe
_chemical_formula_sum 'Zr2 Sc2 C2 Se2'
_cell_length_a 3.4934
_cell_length_b 3.4934
_cell_length_c 12.5274
_cell_angle_alpha 90.00
_cell_angle_beta 90.00
_cell_angle_gamma 120.00
_symmetry_space_group_name_H-M 'P -3 m 1'
_symmetry_Int_Tables_number 164
_symmetry_space_group_name_Hall '-P 3 2"'
loop_
_atom_site_label
_atom_site_type_symbol
_atom_site_fract_x
_atom_site_fract_y
_atom_site_fract_z
_atom_site_occupancy
Zr1 Zr 0.3333 0.6667 0.4029 1
Sc1 Sc 0.3333 0.6667 0.0956 1
C1 C 0.0000 0.0000 0.0000 1
C2 C 0.0000 0.0000 0.5000 1
Se1 Se 0.3333 0.6667 0.7501 1

(6)
# ZrScCSe GGA-PBE optimized geometry
# **Final energy**: -8.068 eV per atom
# **V**: 16.49 Å³ per atom
data_ZrScCSe
_chemical_formula_sum 'Zr2 Sc2 C2 Se2'
_cell_length_a 3.4870
_cell_length_b 3.4870
_cell_length_c 12.5295
_cell_angle_alpha 90.00
_cell_angle_beta 90.00
_cell_angle_gamma 120.00
_symmetry_space_group_name_H-M 'P -6 m 2'
_symmetry_Int_Tables_number 187
_symmetry_space_group_name_Hall 'P -6 2'
loop_
_atom_site_label
_atom_site_type_symbol
_atom_site_fract_x
_atom_site_fract_y
_atom_site_fract_z
_atom_site_occupancy
Zr1 Zr 0.0000 0.0000 0.1566 1
Sc1 Sc 0.3333 0.6667 0.3516 1
C1 C 0.6667 0.3333 0.2502 1
Se1 Se 0.0000 0.0000 0.5000 1
Se2 Se 0.3333 0.6667 0.0000 1

Q: What is the V in the first record?
A: 18.60 Å³ per atom